No. 1
TbMoOs: optimized geometry, PBE-GGA.

The space group is R-3m (No. 166, hexagonal axes) and the conventional cell measures 5.3905, 5.3905 and 40.8091 Å, with angles of 90.00, 90.00 and 120.00 degrees. The inequivalent atoms are Tb at (0.0000, 0.0000, 0.0390), Tb at (0.0000, 0.0000, 0.1801), Tb at (0.0000, 0.0000, 0.2675), Mo at (0.0068, 0.5034, 0.7770), Os at (0.0000, 0.0000, 0.3882), Os at (0.0000, 0.0000, 0.5000) and Os at (0.0000, 0.5000, 0.0000).

The formation energy from the elements is -0.114 eV per atom.

=====

No. 2
CdSn2Rh: optimized geometry, PBE-GGA.

The space group is I-42d (No. 122) and the conventional cell measures 8.736, 8.736 and 5.330 Å, with angles of 90.00, 90.00 and 90.00 degrees. The inequivalent atoms are Cd at (0.000, 0.000, 0.000), Sn at (0.150, 0.250, 0.625) and Rh at (0.000, 0.000, 0.500).

The formation energy from the elements is -0.068 eV per atom.

=====

No. 3
Ba2YHfMg: optimized geometry, PBE-GGA.

The space group is P4/mmm (No. 123) and the conventional cell measures 6.228, 6.228 and 5.712 Å, with angles of 90.00, 90.00 and 90.00 degrees. The inequivalent atoms are Ba at (0.000, 0.500, 0.000), Y at (0.000, 0.000, 0.000), Hf at (0.500, 0.500, 0.500) and Mg at (0.000, 0.000, 0.500).

The formation energy from the elements is 1.364 eV per atom.

=====

No. 4
Sr4AsN2: optimized geometry, PBE-GGA.

The space group is Imma (No. 74) and the conventional cell measures 7.847, 8.354 and 11.855 Å, with angles of 90.00, 90.00 and 90.00 degrees. The inequivalent atoms are Sr at (0.000, 0.020, 0.223), Sr at (0.240, 0.250, 0.006), As at (0.250, 0.250, 0.750), N at (0.000, 0.000, 0.000) and N at (0.000, 0.250, 0.359).

=====

Number 1: volume 1027 Å³/cell, raw total energy -27.03 eV/f.u., theoretical density 12.95 g/cm³. Number 2: volume 407 Å³/cell, raw total energy -16.54 eV/f.u., theoretical density 7.39 g/cm³. Number 3: volume 222 Å³/cell, raw total energy -15.04 eV/f.u., theoretical density 4.25 g/cm³. Number 4: volume 777 Å³/cell, raw total energy -31.45 eV/f.u., theoretical density 3.88 g/cm³.